A plane-wave DFT calculation with PBE-GGA was carried out for a relaxed TbDySnRh crystal.

Results
- N(E_F): 2.38 states/eV/f.u.
- Formation energy from the elements: -0.65 eV per atom
- Symmetry: F-43m
- Raw total energy: -5.799 eV/atom

a = 5.1114 Å, b = 5.1114 Å, c = 5.1114 Å
α = 60.00°, β = 60.00°, γ = 60.00°
Fractional positions:
Rh 0.2500 0.2500 0.2500
Tb 0.0000 0.0000 0.0000
Sn 0.7500 0.7500 0.7500
Dy 0.5000 0.5000 0.5000

A plane-wave DFT calculation with PBE-GGA was carried out for a relaxed DyTm2SnRh4 crystal.

Results
- N(E_F): 6.51 states/eV/f.u.
- Formation energy from the elements: -0.86 eV per atom
- Symmetry: R-3m
- Raw total energy: -6.733 eV/atom

a = 4.7367 Å, b = 4.7367 Å, c = 8.2195 Å
α = 73.25°, β = 73.25°, γ = 60.00°
Fractional positions:
Dy 0.0000 0.0000 0.0000
Tm 0.7540 0.7540 0.7379
Tm 0.2460 0.2460 0.2621
Sn 0.5000 0.5000 0.5000
Rh 0.3771 0.3771 0.8687
Rh 0.8751 0.8751 0.3746
Rh 0.1249 0.1249 0.6254
Rh 0.6229 0.6229 0.1313

A plane-wave DFT calculation with PBE-GGA was carried out for a relaxed Dy2ZnSn2Rh5 crystal.

Results
- N(E_F): 2.88 states/eV/f.u.
- Formation energy from the elements: -0.53 eV per atom
- Symmetry: P4/mbm
- Raw total energy: -6.055 eV/atom

a = 3.6470 Å, b = 10.0990 Å, c = 10.0990 Å
α = 90.00°, β = 90.00°, γ = 90.00°
Fractional positions:
Dy 0.0000 0.6681 0.1681
Dy 0.0000 0.3319 0.8319
Dy 0.0000 0.1681 0.3319
Dy 0.0000 0.8319 0.6681
Zn 0.0000 0.0000 0.0000
Zn 0.0000 0.5000 0.5000
Sn 0.0000 0.1320 0.6320
Sn 0.0000 0.8680 0.3680
Sn 0.0000 0.6320 0.8680
Sn 0.0000 0.3680 0.1320
Rh 0.5000 0.1954 0.0559
Rh 0.5000 0.8046 0.9441
Rh 0.5000 0.0559 0.8046
Rh 0.5000 0.6954 0.4441
Rh 0.5000 0.9441 0.1954
Rh 0.5000 0.3046 0.5559
Rh 0.5000 0.5559 0.6954
Rh 0.5000 0.4441 0.3046
Rh 0.5000 0.5000 0.0000
Rh 0.5000 0.0000 0.5000

A plane-wave DFT calculation with PBE-GGA was carried out for a relaxed DyZnSnRh crystal.

Results
- N(E_F): 2.48 states/eV/f.u.
- Formation energy from the elements: -0.53 eV per atom
- Symmetry: F-43m
- Raw total energy: -4.840 eV/atom

a = 4.7631 Å, b = 4.7631 Å, c = 4.7631 Å
α = 60.00°, β = 60.00°, γ = 60.00°
Fractional positions:
Zn 0.5000 0.5000 0.5000
Rh 0.0000 0.0000 0.0000
Sn 0.2500 0.2500 0.2500
Dy 0.7500 0.7500 0.7500

A plane-wave DFT calculation with PBE-GGA was carried out for a relaxed SrDy3Rh8 crystal.

Results
- N(E_F): 10.93 states/eV/f.u.
- Formation energy from the elements: -0.59 eV per atom
- Symmetry: P3m1
- Raw total energy: -6.785 eV/atom

a = 5.3587 Å, b = 5.3587 Å, c = 8.8110 Å
α = 90.00°, β = 90.00°, γ = 120.00°
Fractional positions:
Sr 0.0000 0.0000 0.5645
Dy 0.6667 0.3333 0.4335
Dy 0.6667 0.3333 0.0676
Dy 0.0000 0.0000 0.9293
Rh 0.3333 0.6667 0.4997
Rh 0.3333 0.6667 0.0002
Rh 0.5022 0.0045 0.7563
Rh 0.5022 0.4978 0.7563
Rh 0.9955 0.4978 0.7563
Rh 0.1652 0.3304 0.2455
Rh 0.1652 0.8348 0.2455
Rh 0.6696 0.8348 0.2455

A plane-wave DFT calculation with PBE-GGA was carried out for a relaxed SrDyRh2 crystal.

Results
- N(E_F): 1.46 states/eV/f.u.
- Formation energy from the elements: -0.43 eV per atom
- Symmetry: Fm-3m
- Raw total energy: -5.676 eV/atom
- Excess energy over the best structure of this formula in the dataset: 98.7 meV/atom

a = 4.9532 Å, b = 4.9532 Å, c = 4.9532 Å
α = 60.00°, β = 60.00°, γ = 60.00°
Fractional positions:
Sr 0.5000 0.5000 0.5000
Rh 0.2500 0.2500 0.2500
Rh 0.7500 0.7500 0.7500
Dy 0.0000 0.0000 0.0000

A plane-wave DFT calculation with PBE-GGA was carried out for a relaxed SrDyRh2 crystal.

Results
- N(E_F): 0.67 states/eV/f.u.
- Formation energy from the elements: -0.53 eV per atom
- Symmetry: P4/mmm
- Raw total energy: -5.774 eV/atom
- Excess energy over the best structure of this formula in the dataset: 0.0 meV/atom

a = 3.4795 Å, b = 3.4795 Å, c = 7.2219 Å
α = 90.00°, β = 90.00°, γ = 90.00°
Fractional positions:
Sr 0.5000 0.5000 0.5000
Rh 0.0000 0.0000 0.7842
Rh 0.0000 0.0000 0.2158
Dy 0.5000 0.5000 0.0000

A plane-wave DFT calculation with PBE-GGA was carried out for a relaxed Sr2DyRh9 crystal.

Results
- N(E_F): 14.78 states/eV/f.u.
- Formation energy from the elements: -0.28 eV per atom
- Symmetry: R-3m
- Raw total energy: -6.462 eV/atom

a = 5.3342 Å, b = 5.3342 Å, c = 9.4379 Å
α = 73.59°, β = 73.59°, γ = 60.00°
Fractional positions:
Sr 0.8592 0.8592 0.4225
Sr 0.1408 0.1408 0.5775
Dy 0.0000 0.0000 0.0000
Rh 0.6677 0.6677 0.9970
Rh 0.3323 0.3323 0.0030
Rh 0.5000 0.5000 0.5000
Rh 0.4230 0.4230 0.2374
Rh 0.9166 0.4230 0.2374
Rh 0.4230 0.9166 0.2374
Rh 0.5770 0.5770 0.7626
Rh 0.5770 0.0834 0.7626
Rh 0.0834 0.5770 0.7626

raw total energy of number 7 (SrDyRh2)?
-5.774 eV/atom

What is the formula in the second record?
DyTm2SnRh4

formation energy from the elements of number 2 (DyTm2SnRh4)?
-0.86 eV per atom